No. 1
Computed, not measured: a geometry-optimized Rb2FeBCl6 structure at the GGA-PBE level of DFT.

## Properties
* theoretical density: 2.98 g cm⁻³
* formation energy without anion corrections: -841.6 meV per atom
* space group: I4/mmm (139)

Cell lengths 7.234, 7.234, 7.234 Å; angles 123.81, 123.81, 83.52 degrees
Sites, in units of the cell vectors:
Rb 0.250 0.750 0.500
Rb 0.750 0.250 0.500
Fe 0.000 0.000 0.000
B 0.500 0.500 0.000
Cl 0.210 0.210 0.000
Cl 0.280 0.280 0.560
Cl 0.280 0.720 0.000
Cl 0.720 0.280 0.000
Cl 0.720 0.720 0.440
Cl 0.790 0.790 0.000



No. 2
Computed, not measured: a geometry-optimized FeReBCl2 structure at the GGA-PBE level of DFT.

## Properties
* theoretical density: 5.56 g cm⁻³
* formation energy without anion corrections: 1208.9 meV per atom
* space group: P4/mmm (123)

Cell lengths 4.867, 4.867, 4.083 Å; angles 90.00, 90.00, 90.00 degrees
Sites, in units of the cell vectors:
Fe 0.000 0.000 0.000
Re 0.500 0.500 0.500
B 0.500 0.500 0.000
Cl 0.000 0.500 0.500
Cl 0.500 0.000 0.500



No. 3
Computed, not measured: a geometry-optimized FeB2SCl structure at the GGA-PBE level of DFT.

## Properties
* theoretical density: 3.55 g cm⁻³
* formation energy without anion corrections: 855.3 meV per atom
* space group: P4/mmm (123)

Cell lengths 4.011, 4.011, 4.215 Å; angles 90.00, 90.00, 90.00 degrees
Sites, in units of the cell vectors:
Fe 0.000 0.000 0.000
B 0.000 0.500 0.000
B 0.500 0.000 0.000
S 0.000 0.000 0.500
Cl 0.500 0.500 0.500



No. 4
Computed, not measured: a geometry-optimized FeTc2BCl structure at the GGA-PBE level of DFT.

## Properties
* theoretical density: 6.93 g cm⁻³
* formation energy without anion corrections: 1773.4 meV per atom
* space group: P4/mmm (123)

Cell lengths 4.436, 4.436, 3.630 Å; angles 90.00, 90.00, 90.00 degrees
Sites, in units of the cell vectors:
Fe 0.000 0.000 0.000
Tc 0.000 0.500 0.500
Tc 0.500 0.000 0.500
B 0.500 0.500 0.000
Cl 0.500 0.500 0.500



No. 5
Computed, not measured: a geometry-optimized GaBCl structure at the GGA-PBE level of DFT.

## Properties
* theoretical density: 2.72 g cm⁻³
* formation energy without anion corrections: -60.3 meV per atom
* space group: P-1 (2)

Cell lengths 3.867, 6.401, 6.687 Å; angles 61.77, 82.55, 76.10 degrees
Sites, in units of the cell vectors:
Ga 0.019 0.229 0.000
Ga 0.981 0.771 0.000
B 0.399 0.912 0.000
B 0.601 0.088 0.000
Cl 0.007 0.637 0.720
Cl 0.993 0.363 0.280



No. 6
Computed, not measured: a geometry-optimized GaB2Cl structure at the GGA-PBE level of DFT.

## Properties
* theoretical density: 3.81 g cm⁻³
* formation energy without anion corrections: 1794.8 meV per atom
* space group: Fm-3m (225)

Cell lengths 6.045, 6.045, 6.045 Å; angles 90.00, 90.00, 90.00 degrees
Sites, in units of the cell vectors:
Ga 0.000 0.000 0.000
Ga 0.000 0.500 0.500
Ga 0.500 0.000 0.500
Ga 0.500 0.500 0.000
B 0.250 0.250 0.250
B 0.250 0.250 0.750
B 0.250 0.750 0.250
B 0.250 0.750 0.750
B 0.750 0.250 0.250
B 0.750 0.250 0.750
B 0.750 0.750 0.250
B 0.750 0.750 0.750
Cl 0.000 0.000 0.500
Cl 0.000 0.500 0.000
Cl 0.500 0.000 0.000
Cl 0.500 0.500 0.500



No. 7
Computed, not measured: a geometry-optimized GaB2Cl structure at the GGA-PBE level of DFT.

## Properties
* theoretical density: 3.37 g cm⁻³
* formation energy without anion corrections: 981.4 meV per atom
* space group: I-42d (122)

Cell lengths 4.969, 4.969, 10.108 Å; angles 90.00, 90.00, 90.00 degrees
Sites, in units of the cell vectors:
Ga 0.000 0.000 0.000
Ga 0.000 0.500 0.250
Ga 0.500 0.000 0.750
Ga 0.500 0.500 0.500
B 0.219 0.250 0.125
B 0.250 0.719 0.375
B 0.250 0.781 0.875
B 0.281 0.250 0.625
B 0.719 0.750 0.625
B 0.750 0.219 0.875
B 0.750 0.281 0.375
B 0.781 0.750 0.125
Cl 0.000 0.000 0.500
Cl 0.000 0.500 0.750
Cl 0.500 0.000 0.250
Cl 0.500 0.500 0.000



No. 8
Computed, not measured: a geometry-optimized GaHgB2Cl structure at the GGA-PBE level of DFT.

## Properties
* theoretical density: 5.31 g cm⁻³
* formation energy without anion corrections: 1773.0 meV per atom
* space group: P4/mmm (123)

Cell lengths 4.146, 4.146, 5.959 Å; angles 90.00, 90.00, 90.00 degrees
Sites, in units of the cell vectors:
Ga 0.000 0.000 0.000
Hg 0.500 0.500 0.000
B 0.000 0.500 0.500
B 0.500 0.000 0.500
Cl 0.500 0.500 0.500